The following is a DFT calculation (PBE) of an optimized crystal structure of InFeReIr.

abc: 4.4276 4.4276 4.4276
angles: 60.00 60.00 60.00
Atoms (fractional coordinates):
Fe: 0.7500 0.7500 0.7500
In: 0.0000 0.0000 0.0000
Ir: 0.2500 0.2500 0.2500
Re: 0.5000 0.5000 0.5000

Values from the calculation:
polymorph energy (0 for the lowest one): 0.000 eV/atom
calculated total energy: -7.745 eV/atom
symmetry: F-43m (216)